Computed, not measured: GdBi at its PBEsol-relaxed geometry at the SCAN level of DFT.

Results
- energy relative to the elements (meV/atom) = -969
- Fermi-level density of states (states/eV/atom) = 0.144

Cell lengths 6.2752, 6.2752, 6.2752 Å; angles 90.00, 90.00, 90.00 degrees
Last column: nearest neighbours and their distance in Å.
Space group Fm-3m (No. 225)
Unique sites:
Gd  0.0000  0.0000  0.0000 (multiplicity 4)  6 Bi 3.14
Bi  0.0000  0.0000  0.5000 (multiplicity 4)  6 Gd 3.14



Computed, not measured: Cr3GeAu at its PBEsol-relaxed geometry at the SCAN level of DFT.

Results
- energy relative to the elements (meV/atom) = 674
- Fermi-level density of states (states/eV/atom) = 0.773

Cell lengths 4.5859, 4.5859, 4.5859 Å; angles 90.00, 90.00, 90.00 degrees
Last column: nearest neighbours and their distance in Å.
Space group Pm-3m (No. 221)
Unique sites:
Cr  0.0000  0.0000  0.5000 (multiplicity 3)  2 Ge 2.29
Ge  0.0000  0.0000  0.0000 (multiplicity 1)  6 Cr 2.29
Au  0.5000  0.5000  0.5000 (multiplicity 1)  12 Cr 3.24